# Tm4TcTe, relaxed, DFT PBE-GGA
# Polymorph energy (0 for the lowest one): 302 meV/atom
# Formation energy without anion corrections: -0.24 eV/atom
# Total magnetic moment: 0.00 μB/atom
# Crystal system: monoclinic
data_Tm4TcTe
_chemical_formula_sum 'Tm16 Tc4 Te4'
_cell_length_a 17.279
_cell_length_b 5.278
_cell_length_c 9.380
_cell_angle_alpha 90.00
_cell_angle_beta 108.97
_cell_angle_gamma 90.00
_space_group_name_H-M_alt 'C 1 2/m 1'
_space_group_IT_number 12
loop_
_space_group_symop_operation_xyz
'x,y,z'
'-x,-y,-z'
'-x,y,-z'
'x,-y,z'
'x+1/2,y+1/2,z'
'-x+1/2,-y+1/2,-z'
'-x+1/2,y+1/2,-z'
'x+1/2,-y+1/2,z'
loop_
_atom_site_label
_atom_site_fract_x
_atom_site_fract_y
_atom_site_fract_z
Tm1 0.014 0.000 0.249
Tm2 0.099 0.500 0.029
Tm3 0.200 0.000 0.905
Tm4 0.235 0.000 0.300
Tc1 0.091 0.000 0.053
Te1 0.158 0.000 0.560